Entry 1:
{
  "formula": "Be2CoRe",
  "functional": "PBE",
  "state": "optimized geometry",
  "vol_a3_per_atom": 10.3,
  "e_form_ev_per_fu": -0.18,
  "energy_ev_per_atom": -6.797,
  "n_ef_per_ev_cell": 2.88,
  "cell": [[-2.262, 3.577, -1.839], [-3.695, 2.749, 0.290], [0.637, 3.392, 1.748]],
  "species": ["Be", "Be", "Co", "Re"],
  "frac_coords": [[0.743, 0.743, 0.757], [0.018, 0.018, 0.982], [0.485, 0.485, 0.515], [0.254, 0.254, 0.246]]
}

***

Entry 2:
{
  "formula": "Pr4Te5H",
  "functional": "PBE",
  "state": "optimized geometry",
  "vol_a3_per_atom": 33.6,
  "energy_ev_per_atom": -4.951,
  "n_ef_per_ev_cell": 2.74,
  "cell": [[4.324, 0.000, 0.000], [0.000, 7.584, -2.399], [-2.162, -3.550, 11.364]],
  "species": ["H", "Pr", "Pr", "Pr", "Pr", "Te", "Te", "Te", "Te", "Te"],
  "frac_coords": [[0.500, 0.000, 0.000], [0.723, 0.217, 0.446], [0.023, 0.816, 0.045], [0.977, 0.184, 0.955], [0.277, 0.783, 0.554], [0.836, 0.131, 0.672], [0.858, 0.684, 0.716], [0.164, 0.869, 0.328], [0.142, 0.316, 0.284], [0.500, 0.500, 0.000]]
}

***

Entry 3:
{
  "formula": "TaTl3Zn",
  "functional": "PBE",
  "state": "optimized geometry",
  "vol_a3_per_atom": 28.2,
  "e_form_ev_per_fu": 6.08,
  "energy_ev_per_atom": -2.829,
  "n_ef_per_ev_cell": 7.48,
  "cell": [[5.203, 0.000, 0.000], [0.000, 5.203, 0.000], [0.000, 0.000, 5.203]],
  "species": ["Ta", "Tl", "Tl", "Tl", "Zn"],
  "frac_coords": [[0.500, 0.500, 0.500], [0.000, 0.500, 0.000], [0.000, 0.000, 0.500], [0.500, 0.000, 0.000], [0.000, 0.000, 0.000]]
}

***

Entry 4:
{
  "formula": "ThTcGe",
  "functional": "PBE",
  "state": "optimized geometry",
  "vol_a3_per_atom": 21.1,
  "e_form_ev_per_fu": -0.99,
  "energy_ev_per_atom": -7.798,
  "n_ef_per_ev_cell": 3.95,
  "cell": [[3.576, 0.000, 0.000], [1.788, 5.410, -0.599], [1.788, 0.267, 6.530]],
  "species": ["Th", "Th", "Tc", "Tc", "Ge", "Ge"],
  "frac_coords": [[0.641, 0.026, 0.692], [0.191, 0.353, 0.265], [0.776, 0.546, 0.903], [0.414, 0.850, 0.323], [0.411, 0.558, 0.619], [0.036, 0.877, 0.051]]
}